This record from the Alexandria database describes YNiOs after structural relaxation. The functional is GGA-PBE.

```
YNiOs
1.0
-3.963 -1.852 -0.834
-0.399 -4.432 -0.149
-2.178 -2.149 3.235
Ni Os Y
1 1 1
direct
0.000 0.000 0.000 Ni
0.500 0.500 0.500 Os
0.250 0.250 0.250 Y
```

Summary:
As for the space-group type: F-43m, No. 216. The value obtained for the energy above the most stable polymorph in this dataset is 1.500 eV/atom. As for the crystal system: cubic. As for the total energy: -6.69 eV per atom. Its formation energy is 109.86 kJ per mole of atoms.